# CaLa4Cl PBE optimized geometry
data_CaLa4Cl
_chemical_formula_sum 'Ca4 La16 Cl4'
_space_group_name_H-M_alt 'F -4 3 m'
_space_group_IT_number 216
_space_group_name_Hall 'F -4 2 3'
_cell_length_a 9.705
_cell_length_b 9.705
_cell_length_c 9.705
_cell_angle_alpha 90.00
_cell_angle_beta 90.00
_cell_angle_gamma 90.00
loop_
_atom_site_label
_atom_site_fract_x
_atom_site_fract_y
_atom_site_fract_z
Ca1 0.000 0.000 0.000
La1 0.131 0.131 0.369
Cl1 0.250 0.250 0.750
# Calculated total energy   -90.707 eV for the cell shown

***

# LaYSb2 PBE optimized geometry
data_LaYSb2
_chemical_formula_sum 'La4 Y4 Sb8'
_space_group_name_H-M_alt 'F -4 3 m'
_space_group_IT_number 216
_space_group_name_Hall 'F -4 2 3'
_cell_length_a 7.689
_cell_length_b 7.689
_cell_length_c 7.689
_cell_angle_alpha 90.00
_cell_angle_beta 90.00
_cell_angle_gamma 90.00
loop_
_atom_site_label
_atom_site_fract_x
_atom_site_fract_y
_atom_site_fract_z
La1 0.000 0.000 0.000
Y1 0.250 0.250 0.250
Sb1 0.000 0.000 0.500
Sb2 0.250 0.250 0.750
# Energy above the lowest structure with this stoichiometry   79.53 kJ/mol of atoms

***

# Pm5PrNd2Mg PBE optimized geometry
data_Pm5PrNd2Mg
_chemical_formula_sum 'Pm20 Pr4 Nd8 Mg4'
_space_group_name_H-M_alt 'C m c 21'
_space_group_IT_number 36
_cell_length_a 5.605
_cell_length_b 20.325
_cell_length_c 10.850
_cell_angle_alpha 90.00
_cell_angle_beta 90.00
_cell_angle_gamma 90.00
loop_
_space_group_symop_operation_xyz
'x,y,z'
'-x,-y,z+1/2'
'-x,y,z'
'x,-y,z+1/2'
'x+1/2,y+1/2,z'
'-x+1/2,-y+1/2,z+1/2'
'-x+1/2,y+1/2,z'
'x+1/2,-y+1/2,z+1/2'
loop_
_atom_site_label
_atom_site_fract_x
_atom_site_fract_y
_atom_site_fract_z
Pm1 0.000 0.000 0.000
Pm2 0.000 0.117 0.250
Pm3 0.000 0.211 0.551
Pm4 0.000 0.211 0.949
Pm5 0.000 0.486 0.250
Pr1 0.000 0.299 0.250
Nd1 0.000 0.385 0.541
Nd2 0.000 0.385 0.959
Mg1 0.000 0.094 0.750
# DFT formation energy   88 meV/atom

***

# K2P2O5F2 PBE optimized geometry
data_K2P2O5F2
_chemical_formula_sum 'K8 P8 O20 F8'
_space_group_name_H-M_alt 'C 1 2/c 1'
_space_group_IT_number 15
_cell_length_a 13.008
_cell_length_b 7.785
_cell_length_c 7.353
_cell_angle_alpha 90.00
_cell_angle_beta 90.61
_cell_angle_gamma 90.00
loop_
_space_group_symop_operation_xyz
'x,y,z'
'-x,-y,-z'
'-x,y,-z+1/2'
'x,-y,z+1/2'
'x+1/2,y+1/2,z'
'-x+1/2,-y+1/2,-z'
'-x+1/2,y+1/2,-z+1/2'
'x+1/2,-y+1/2,z+1/2'
loop_
_atom_site_label
_atom_site_fract_x
_atom_site_fract_y
_atom_site_fract_z
K1 0.140 0.143 0.142
P1 0.096 0.293 0.647
O1 0.000 0.382 0.750
O2 0.061 0.196 0.483
O3 0.168 0.210 0.780
F1 0.148 0.469 0.581
# Calculated total energy   -272.041 eV for the cell shown